DFT (PBE+U) results for an optimized crystal structure of ZnCo2O.

The final energy is -3.58 eV per atom. The value obtained for the total magnetization is 4.00 μB per cell. Its energy above the most stable polymorph in this dataset is 0.463 eV per atom. Its density of states at the Fermi level is 4.0 states/eV/cell.

Lattice parameters (Å, degrees): 4.073 4.073 4.073 60.00 60.00 60.00
Site moments in Bohr magnetons follow the coordinates.
Element x y z (fractional)
O: 0.000 0.000 0.000  0.01
Zn: 0.500 0.500 0.500  -0.14
Co: 0.750 0.750 0.750  2.12
Co: 0.250 0.250 0.250  2.12